Below is a relaxed RbCa2IrPb crystal, with properties calculated at the PBE-GGA level.

Calculated values
The calculation puts the energy of formation from the pure elements at -0.16 eV/atom. The volume comes out at 173.4 Å³ per cell. The symmetry is No. 123.

a b c (Å): 5.700 5.700 5.336
angles (deg): 90.00 90.00 90.00
Element x y z (fractional)
Pb 0.000 0.000 0.500
Ca 0.000 0.500 0.000
Ca 0.500 0.000 0.000
Ir 0.000 0.000 0.000
Rb 0.500 0.500 0.500


Below is a relaxed USiOs2C crystal, with properties calculated at the PBE-GGA level.

Calculated values
The calculation puts the uncorrected formation energy at -286 meV per atom. The volume comes out at 152.7 Å³ per cell. The symmetry is No. 63.

a b c (Å): 3.852 5.993 6.987
angles (deg): 90.00 90.00 108.74
Element x y z (fractional)
U 0.447 0.894 0.750
U 0.553 0.106 0.250
Si 0.726 0.452 0.750
Si 0.274 0.548 0.250
Os 0.165 0.329 0.948
Os 0.835 0.671 0.052
Os 0.165 0.329 0.552
Os 0.835 0.671 0.448
C 0.000 0.000 0.000
C 0.000 0.000 0.500


Below is a relaxed Rb2Ac2TlO6 crystal, with properties calculated at the PBE-GGA level.

Calculated values
The calculation puts the uncorrected formation energy at -1918 meV per atom. The volume comes out at 252.7 Å³ per cell. The symmetry is No. 12.

a b c (Å): 6.707 6.707 6.910
angles (deg): 95.95 95.95 123.57
Element x y z (fractional)
Rb 0.846 0.154 0.000
Rb 0.154 0.846 0.000
Ac 0.334 0.666 0.500
Ac 0.666 0.334 0.500
Tl 0.000 0.000 0.500
O 0.762 0.762 0.665
O 0.044 0.404 0.687
O 0.238 0.238 0.335
O 0.404 0.044 0.687
O 0.956 0.596 0.313
O 0.596 0.956 0.313


Below is a relaxed Tb2Ho5In5 crystal, with properties calculated at the PBE-GGA level.

Calculated values
The calculation puts the energy of formation from the pure elements at -0.31 eV/atom. The volume comes out at 337.8 Å³ per cell. The symmetry is No. 12.

a b c (Å): 5.066 6.498 11.841
angles (deg): 108.13 90.00 112.94
Element x y z (fractional)
Tb 0.074 0.148 0.758
Tb 0.926 0.852 0.242
Ho 0.500 0.000 0.500
Ho 0.652 0.304 0.002
Ho 0.632 0.264 0.276
Ho 0.368 0.736 0.724
Ho 0.348 0.696 0.998
In 0.167 0.334 0.466
In 0.741 0.481 0.779
In 0.259 0.519 0.221
In 0.833 0.666 0.534
In 0.000 0.000 0.000


Below is a relaxed ReTeP2 crystal, with properties calculated at the PBE-GGA level.

Calculated values
The calculation puts the uncorrected formation energy at 856 meV per atom. The volume comes out at 67.3 Å³ per cell. The symmetry is No. 12.

a b c (Å): 4.655 4.655 3.275
angles (deg): 80.14 80.14 100.32
Element x y z (fractional)
P 0.000 0.000 0.000
P 0.500 0.500 0.000
Re 0.500 0.000 0.500
Te 0.000 0.500 0.500


Below is a relaxed Mg3Sc4Hg2 crystal, with properties calculated at the PBE-GGA level.

Calculated values
The calculation puts the energy of formation from the pure elements at -0.13 eV/atom. The volume comes out at 204.1 Å³ per cell. The symmetry is No. 12.

a b c (Å): 3.575 5.838 10.800
angles (deg): 72.88 89.98 72.15
Element x y z (fractional)
Mg 0.313 0.374 0.422
Mg 0.000 0.000 0.000
Mg 0.687 0.626 0.578
Sc 0.679 0.641 0.882
Sc 0.002 0.997 0.339
Sc 0.998 0.003 0.661
Sc 0.321 0.359 0.118
Hg 0.351 0.298 0.790
Hg 0.649 0.702 0.210


Below is a relaxed ScBi2IrRh crystal, with properties calculated at the PBE-GGA level.

Calculated values
The calculation puts the energy of formation from the pure elements at 0.60 eV/atom. The volume comes out at 131.2 Å³ per cell. The symmetry is No. 123.

a b c (Å): 5.227 4.801 5.227
angles (deg): 90.00 90.00 90.00
Element x y z (fractional)
Sc 0.500 0.500 0.500
Ir 0.000 0.500 0.000
Rh 0.000 0.000 0.000
Bi 0.000 0.000 0.500
Bi 0.500 0.000 0.000


Below is a relaxed HPbO crystal, with properties calculated at the PBE-GGA level.

Calculated values
The value obtained for the polymorph energy (0 for the lowest one) is 0.00 eV per formula unit. The volume comes out at 98.4 Å³ per cell. The symmetry is No. 6.

a b c (Å): 4.520 3.547 6.137
angles (deg): 89.27 90.00 90.00
Element x y z (fractional)
H 0.812 0.172 0.297
H 0.812 0.684 0.509
Pb 0.312 0.603 0.167
Pb 0.312 0.071 0.687
O 0.812 0.323 0.159
O 0.812 0.944 0.560


Below is a relaxed BaAcGe2 crystal, with properties calculated at the PBE-GGA level.

Calculated values
The calculation puts the energy of formation from the pure elements at -0.42 eV/atom. The volume comes out at 123.4 Å³ per cell. The symmetry is No. 123.

a b c (Å): 4.349 5.328 5.328
angles (deg): 90.00 90.00 90.00
Element x y z (fractional)
Ac 0.500 0.500 0.500
Ge 0.000 0.000 0.500
Ge 0.000 0.500 0.000
Ba 0.500 0.000 0.000


Below is a relaxed Dy4TmMg3 crystal, with properties calculated at the PBE-GGA level.

Calculated values
The calculation puts the energy of formation from the pure elements at -0.01 eV/atom. The volume comes out at 225.3 Å³ per cell. The symmetry is No. 47.

a b c (Å): 3.796 5.420 10.953
angles (deg): 90.00 90.00 90.00
Element x y z (fractional)
Mg 0.500 0.000 0.251
Mg 0.500 0.500 0.500
Mg 0.500 0.000 0.749
Tm 0.500 0.500 0.000
Dy 0.000 0.000 0.500
Dy 0.000 0.500 0.740
Dy 0.000 0.000 0.000
Dy 0.000 0.500 0.260


Below is a relaxed Na2Pu2MnSe6 crystal, with properties calculated at the PBE-GGA level.

Calculated values
The calculation puts the uncorrected formation energy at -1112 meV per atom. The volume comes out at 295.9 Å³ per cell. The symmetry is No. 12.

a b c (Å): 6.976 6.976 7.389
angles (deg): 98.98 98.98 119.95
Element x y z (fractional)
Na 0.831 0.169 0.000
Na 0.169 0.831 0.000
Pu 0.334 0.666 0.500
Pu 0.666 0.334 0.500
Mn 0.000 0.000 0.500
Se 0.763 0.763 0.714
Se 0.073 0.392 0.719
Se 0.237 0.237 0.286
Se 0.392 0.073 0.719
Se 0.927 0.608 0.281
Se 0.608 0.927 0.281


Below is a relaxed Nd8Os3RhCl4 crystal, with properties calculated at the PBE-GGA level.

Calculated values
The calculation puts the uncorrected formation energy at -845 meV per atom. The volume comes out at 440.2 Å³ per cell. The symmetry is No. 166.

a b c (Å): 8.192 8.934 8.190
angles (deg): 117.30 120.01 90.00
Element x y z (fractional)
Nd 0.238 0.706 0.968
Nd 0.238 0.706 0.476
Nd 0.264 0.292 0.528
Nd 0.730 0.706 0.968
Nd 0.270 0.294 0.032
Nd 0.736 0.708 0.472
Nd 0.762 0.294 0.524
Nd 0.762 0.294 0.032
Os 0.500 0.500 0.000
Os 0.500 0.500 0.500
Os 0.000 0.500 0.500
Rh 0.000 0.500 0.000
Cl 0.500 0.000 0.000
Cl 0.500 0.000 0.500
Cl 0.000 0.000 0.000
Cl 0.000 0.000 0.500


Repeat the ninth record exactly.
Below is a relaxed BaAcGe2 crystal, with properties calculated at the PBE-GGA level.

Calculated values
The calculation puts the energy of formation from the pure elements at -0.42 eV/atom. The volume comes out at 123.4 Å³ per cell. The symmetry is No. 123.

a b c (Å): 4.349 5.328 5.328
angles (deg): 90.00 90.00 90.00
Element x y z (fractional)
Ac 0.500 0.500 0.500
Ge 0.000 0.000 0.500
Ge 0.000 0.500 0.000
Ba 0.500 0.000 0.000